No. 1
Computed, not measured: a relaxed NaZr2In crystal at the PBE-GGA level of DFT.

Results
DOS at the Fermi energy: 7.4 states/eV per cell
Formation energy: 0.4907 eV/atom

a = 8.2576 Å, b = 8.2576 Å, c = 6.4946 Å
α = 50.53°, β = 50.53°, γ = 90.00°
With the nearest neighbours (Å) after each atom.
Positions (direct):
Na 0.5000 0.5000 0.0000  2 In 2.84, 4 Zr 3.04
Na 0.2500 0.7500 0.5000  2 In 2.84, 4 Zr 3.04
Zr 0.6311 0.1250 0.2500  2 Zr 2.85, 2 In 2.97, 2 Na 3.04
Zr 0.1189 0.6250 0.2500  2 Zr 2.85, 2 In 2.97, 2 Na 3.04
Zr 0.3750 0.3689 0.7500  2 Zr 2.85, 2 In 2.97, 2 Na 3.04
Zr 0.8750 0.8811 0.7500  2 Zr 2.85, 2 In 2.97, 2 Na 3.04
In 0.0000 0.0000 0.0000  2 Na 2.84, 4 Zr 2.97
In 0.7500 0.2500 0.5000  2 Na 2.84, 4 Zr 2.97



No. 2
Computed, not measured: a relaxed YCd2W crystal at the PBE-GGA level of DFT.

Results
DOS at the Fermi energy: 3.9 states/eV per cell
Formation energy: 0.4650 eV/atom

a = 10.4167 Å, b = 10.4167 Å, c = 10.4167 Å
α = 17.23°, β = 17.23°, γ = 17.23°
With the nearest neighbours (Å) after each atom.
Positions (direct):
Cd 0.9972 0.9972 0.9972  9 Cd 3.12-3.17, 3 Y 3.33
Cd 0.2459 0.2459 0.2459  3 W 2.98, 9 Cd 3.12-3.17
W 0.5022 0.5022 0.5022  3 Cd 2.98, 3 Y 3.07, 6 W 3.12
Y 0.7548 0.7548 0.7548  3 W 3.07, 6 Y 3.12, 3 Cd 3.33



No. 3
Computed, not measured: a relaxed ScTl6S8 crystal at the PBE-GGA level of DFT.

Results
ΔE_f (raw): -0.396 eV per atom
DOS at the Fermi energy: 9.2 states/eV per cell

a = 7.4070 Å, b = 7.4070 Å, c = 7.4070 Å
α = 98.28°, β = 98.28°, γ = 98.28°
With the nearest neighbours (Å) after each atom.
Positions (direct):
Sc 0.0000 0.0000 0.0000  6 S 2.67
Tl 0.7333 0.4208 0.9021  4 S 2.78-2.99
Tl 0.4208 0.9021 0.7333  4 S 2.78-2.99
Tl 0.9021 0.7333 0.4208  4 S 2.78-2.99
Tl 0.2667 0.5792 0.0979  4 S 2.78-2.99
Tl 0.5792 0.0979 0.2667  4 S 2.78-2.99
Tl 0.0979 0.2667 0.5792  4 S 2.78-2.99
S 0.5908 0.5908 0.5908  1 S 1.97
S 0.4092 0.4092 0.4092  1 S 1.97
S 0.6946 0.8009 0.0666  1 Sc 2.67, 2 Tl 2.78-2.97
S 0.8009 0.0666 0.6946  1 Sc 2.67, 2 Tl 2.78-2.97
S 0.0666 0.6946 0.8009  1 Sc 2.67, 2 Tl 2.78-2.97
S 0.3054 0.1991 0.9334  1 Sc 2.67, 2 Tl 2.78-2.97
S 0.1991 0.9334 0.3054  1 Sc 2.67, 2 Tl 2.78-2.97
S 0.9334 0.3054 0.1991  1 Sc 2.67, 2 Tl 2.78-2.97



No. 4
Computed, not measured: a relaxed KSr2Au crystal at the PBE-GGA level of DFT.

Results
DOS at the Fermi energy: 2.6 states/eV per cell
Formation energy: 0.0371 eV/atom

a = 6.8904 Å, b = 6.8904 Å, c = 4.1275 Å
α = 76.69°, β = 76.69°, γ = 111.91°
With the nearest neighbours (Å) after each atom.
Positions (direct):
Au 0.5000 0.0000 0.5000  4 Sr 3.59, 2 K 3.86
K 0.0000 0.5000 0.5000  4 Sr 3.59, 2 Au 3.86
Sr 0.0000 0.0000 0.0000  2 K 3.59, 2 Au 3.59, 2 Sr 3.86
Sr 0.5000 0.5000 0.0000  2 Au 3.59, 2 K 3.59, 2 Sr 3.86



No. 5
Computed, not measured: a relaxed HAu crystal at the PBE-GGA level of DFT.

Results
DOS at the Fermi energy: 0.4 states/eV per cell

a = 3.2281 Å, b = 4.0347 Å, c = 4.1174 Å
α = 85.30°, β = 89.86°, γ = 89.86°
With the nearest neighbours (Å) after each atom.
Positions (direct):
H 0.3414 0.7502 0.7503  2 Au 1.77
H 0.6586 0.2498 0.2497  2 Au 1.77
Au 0.0000 0.0000 0.5000  2 H 1.77
Au 0.0000 0.5000 0.0000  2 H 1.77



No. 6
Computed, not measured: a relaxed KZnRh2Cl crystal at the PBE-GGA level of DFT.

Results
ΔE_f (raw): 0.511 eV per atom
DOS at the Fermi energy: 4.6 states/eV per cell

a = 4.5394 Å, b = 5.4536 Å, c = 4.5394 Å
α = 90.00°, β = 90.00°, γ = 90.00°
With the nearest neighbours (Å) after each atom.
Positions (direct):
Zn 0.5000 0.5000 0.5000  4 K 3.21, 8 Rh 3.55
Rh 0.0000 0.0000 0.5000  2 Cl 2.27
Rh 0.5000 0.0000 0.0000  2 Cl 2.27
K 0.0000 0.5000 0.0000  2 Cl 2.73
Cl 0.0000 0.0000 0.0000  4 Rh 2.27



Number 1: DFT total energy -4.798 eV per atom. Number 2: DFT total energy -4.847 eV per atom. Number 3: DFT total energy -3.966 eV per atom. Number 4: DFT total energy -1.898 eV per atom. Number 5: DFT total energy -3.100 eV per atom. Number 6: DFT total energy -3.273 eV per atom.